1.
Material: Pt2PbI
Method: DFT, PBE
State: relaxed

space-group type: No. 225
formation energy without anion corrections: 1.37 eV/f.u.
calculated density: 13.900 g/cm3
ΔE to the lowest computed polymorph: 0.044 eV/atom
density of states at the Fermi level: 0.34 states/eV per atom

Geometry as POSCAR:
```
Pt2PbI
1.0
0.000 3.511 3.511
3.511 0.000 3.511
3.511 3.511 0.000
Pt Pb I
2 1 1
Direct
0.250 0.250 0.250
0.750 0.750 0.750
0.000 0.000 0.000
0.500 0.500 0.500
```

***

2.
Material: Sr2ZnCuH
Method: DFT, PBE
State: relaxed

space-group type: No. 123
calculated density: 4.535 g/cm3
ΔE to the lowest computed polymorph: 0.000 eV/atom
density of states at the Fermi level: 0.41 states/eV per atom

Geometry as POSCAR:
```
Sr2ZnCuH
1.0
5.416 0.000 0.000
0.000 5.416 0.000
0.000 0.000 3.810
Sr Zn Cu H
2 1 1 1
Direct
0.000 0.500 0.000
0.500 0.000 0.000
0.000 0.000 0.500
0.500 0.500 0.500
0.500 0.500 0.000
```

***

3.
Material: ZnHgBr2
Method: DFT, PBE
State: relaxed

space-group type: No. 225
formation energy without anion corrections: 0.04 eV/f.u.
calculated density: 7.050 g/cm3
ΔE to the lowest computed polymorph: 0.636 eV/atom
density of states at the Fermi level: 0.51 states/eV per atom

Geometry as POSCAR:
```
ZnHgBr2
1.0
0.000 3.688 3.688
3.688 0.000 3.688
3.688 3.688 0.000
Zn Hg Br
1 1 2
Direct
0.000 0.000 0.000
0.500 0.500 0.500
0.250 0.250 0.250
0.750 0.750 0.750
```

***

4.
Material: KAlIr3
Method: DFT, PBE
State: relaxed

space-group type: No. 221
calculated density: 10.362 g/cm3
ΔE to the lowest computed polymorph: 1.903 eV/atom
energy of formation from the pure elements: 2.918 eV/atom
density of states at the Fermi level: 1.23 states/eV per atom

Geometry as POSCAR:
```
KAlIr3
1.0
4.688 0.000 0.000
0.000 4.688 0.000
0.000 0.000 4.688
K Al Ir
1 1 3
Direct
0.000 0.000 0.000
0.500 0.500 0.500
0.000 0.000 0.500
0.000 0.500 0.000
0.500 0.000 0.000
```